P.
AlAg2I2: optimized geometry, PBE.

Space group: P4/mbm

Unit cell a=7.911 b=7.911 c=4.314 alpha=90.00 beta=90.00 gamma=90.00
Fractional coordinates of all 10 atoms:
Al 0.000 0.000 0.000
Al 0.500 0.500 0.000
Ag 0.129 0.371 0.000
Ag 0.371 0.871 0.000
Ag 0.629 0.129 0.000
Ag 0.871 0.629 0.000
I 0.182 0.682 0.500
I 0.318 0.182 0.500
I 0.682 0.818 0.500
I 0.818 0.318 0.500

Q.
AlAg2I2: optimized geometry, PBE.

Space group: I4/mmm

Unit cell a=5.915 b=5.915 c=5.915 alpha=118.70 beta=118.70 gamma=92.27
Fractional coordinates of all 5 atoms:
Al 0.000 0.000 0.000
Ag 0.322 0.322 0.000
Ag 0.678 0.678 0.000
I 0.250 0.750 0.500
I 0.750 0.250 0.500

So which one is most stable? That would be Q, about 0.9 kJ/mol of atoms below the next structure.

P.
AlAgI3: optimized geometry, PBE.

Space group: Pm-3m

Unit cell a=5.722 b=5.722 c=5.722 alpha=90.00 beta=90.00 gamma=90.00
Fractional coordinates of all 5 atoms:
Al 0.000 0.000 0.000
Ag 0.500 0.500 0.500
I 0.000 0.500 0.500
I 0.500 0.000 0.500
I 0.500 0.500 0.000

Q.
AlAgI3: optimized geometry, PBE.

Space group: Pm-3m

Unit cell a=5.608 b=5.608 c=5.608 alpha=90.00 beta=90.00 gamma=90.00
Fractional coordinates of all 5 atoms:
Al 0.000 0.000 0.000
Ag 0.500 0.500 0.500
I 0.000 0.000 0.500
I 0.000 0.500 0.000
I 0.500 0.000 0.000

So which one is most stable? That would be Q, about 10.0 kJ/mol of atoms below the next structure.